A relaxed structure of SbPO4, computed with GGA-PBE.

## Properties
Electronic total energy   -6.75 eV per atom
N(E_F)   0.000 states/eV/atom
Formation energy without anion corrections   -1.857 eV/atom

Lattice parameters (Å, degrees): 6.9185 6.6900 7.4119 90.00 90.16 90.00
Closest atoms and distances in Å follow each position.
Space group C2/c (No. 15)
Symmetry-distinct sites (fractional):
Sb 0.0000 0.1027 0.2500 [4 per cell]  4 O 2.17-2.25
P 0.0000 0.3253 0.7500 [4 per cell]  4 O 1.53-1.59
O 0.0006 0.1677 0.9107 [8 per cell]  1 P 1.59
O 0.1796 0.4589 0.7497 [8 per cell]  1 P 1.53